Compound: BaAc2AgO5
Source: Alexandria via LeMat-Bulk
Functional: PBE
Structure: optimized geometry

Output
Energy relative to the elements, uncorrected in eV per atom: -2.33
Calculated total energy in eV/cell: -117.59
Size of the total moment in μB/f.u.: 1.020

a b c (Å): 7.1647 7.1647 8.0764
angles (deg): 116.33 116.33 90.00
Each line ends with the local moment (μB).
Atoms (fractional coordinates):
1 Ag 0.2500 0.7500 0.5000  0.26
2 Ag 0.7500 0.2500 0.5000  0.26
3 O 0.2731 0.7731 0.2478  0.14
4 O 0.9747 0.4747 0.2478  0.14
5 O 0.7269 0.2269 0.7522  0.14
6 O 0.0000 0.0000 0.0000  0.06
7 O 0.5000 0.5000 0.0000  0.06
8 O 0.4747 0.2731 0.2478  0.14
9 O 0.0253 0.5253 0.7522  0.14
10 O 0.5253 0.7269 0.7522  0.14
11 O 0.7731 0.9747 0.2478  0.14
12 O 0.2269 0.0253 0.7522  0.14
13 Ba 0.2500 0.2500 0.5000  -0.01
14 Ba 0.7500 0.7500 0.5000  -0.01
15 Ac 0.8289 0.6711 0.0000  0.01
16 Ac 0.1711 0.3289 0.0000  0.01
17 Ac 0.3289 0.8289 0.0000  0.01
18 Ac 0.6711 0.1711 0.0000  0.01

---

Compound: BaAcAgPb
Source: Alexandria via LeMat-Bulk
Functional: PBE
Structure: optimized geometry

Output
Calculated total energy in eV/cell: -14.22
Calculated formation energy in kcal/mol of atoms: -9.4
Size of the total moment in μB/f.u.: 0.000

a b c (Å): 5.8538 5.8538 5.8538
angles (deg): 60.00 60.00 60.00
Atoms (fractional coordinates):
1 Ba 0.5000 0.5000 0.5000
2 Pb 0.7500 0.7500 0.7500
3 Ac 0.0000 0.0000 0.0000
4 Ag 0.2500 0.2500 0.2500

---

Compound: BaAcAgPd
Source: Alexandria via LeMat-Bulk
Functional: PBE
Structure: optimized geometry

Output
Calculated total energy in eV/cell: -15.52
Calculated formation energy in kcal/mol of atoms: -8.3
Size of the total moment in μB/f.u.: 0.000

a b c (Å): 5.5548 5.5548 5.5548
angles (deg): 60.00 60.00 60.00
Atoms (fractional coordinates):
1 Pd 0.7500 0.7500 0.7500
2 Ba 0.5000 0.5000 0.5000
3 Ac 0.0000 0.0000 0.0000
4 Ag 0.2500 0.2500 0.2500

---

Compound: Ba2AcAgS4
Source: Alexandria via LeMat-Bulk
Functional: PBE
Structure: optimized geometry

Output
Energy relative to the elements, uncorrected in eV per atom: -1.62
Calculated total energy in eV/cell: -40.29
Size of the total moment in μB/f.u.: 0.000

a b c (Å): 4.4345 7.6383 7.5001
angles (deg): 69.74 90.00 90.00
Atoms (fractional coordinates):
1 Ba 0.5000 0.0000 0.5000
2 Ba 0.0000 0.0000 0.0000
3 S 0.0000 0.2711 0.2457
4 S 0.5000 0.2644 0.7373
5 S 0.0000 0.7289 0.7543
6 S 0.5000 0.7356 0.2627
7 Ac 0.0000 0.5000 0.5000
8 Ag 0.5000 0.5000 0.0000

---

Compound: BaAc2AgS5
Source: Alexandria via LeMat-Bulk
Functional: PBE
Structure: optimized geometry

Output
Energy relative to the elements, uncorrected in eV per atom: -1.62
Calculated total energy in eV/cell: -96.40
Size of the total moment in μB/f.u.: 0.000

a b c (Å): 8.2027 8.2027 9.2558
angles (deg): 116.30 116.30 90.00
Atoms (fractional coordinates):
1 S 0.5220 0.7158 0.7378
2 S 0.0220 0.5220 0.7378
3 S 0.7842 0.9780 0.2622
4 S 0.0000 0.0000 0.0000
5 S 0.5000 0.5000 0.0000
6 S 0.4780 0.2842 0.2622
7 S 0.9780 0.4780 0.2622
8 S 0.7158 0.2158 0.7378
9 S 0.2842 0.7842 0.2622
10 S 0.2158 0.0220 0.7378
11 Ag 0.2500 0.7500 0.5000
12 Ag 0.7500 0.2500 0.5000
13 Ac 0.1592 0.3408 0.0000
14 Ac 0.8408 0.6592 0.0000
15 Ac 0.6592 0.1592 0.0000
16 Ac 0.3408 0.8408 0.0000
17 Ba 0.2500 0.2500 0.5000
18 Ba 0.7500 0.7500 0.5000

---

Compound: BaAcAgS3
Source: Alexandria via LeMat-Bulk
Functional: PBE
Structure: optimized geometry

Output
Energy relative to the elements, uncorrected in eV per atom: -1.65
Calculated total energy in eV/cell: -62.37
Size of the total moment in μB/f.u.: 0.000

a b c (Å): 4.3332 7.2852 11.1819
angles (deg): 90.00 90.00 107.30
Atoms (fractional coordinates):
1 Ac 0.0000 0.0000 0.5000
2 Ac 0.0000 0.0000 0.0000
3 S 0.3613 0.7226 0.9302
4 S 0.6387 0.2774 0.0698
5 S 0.0818 0.1635 0.7500
6 S 0.3613 0.7226 0.5698
7 S 0.9182 0.8365 0.2500
8 S 0.6387 0.2774 0.4302
9 Ba 0.7496 0.4993 0.7500
10 Ba 0.2504 0.5007 0.2500
11 Ag 0.4745 0.9490 0.7500
12 Ag 0.5255 0.0510 0.2500